Record 1
# PBE-GGA Tb6PmIn3, optimized geometry
data_Tb6PmIn3
_space_group_name_H-M_alt 'P 1 21/m 1'
_space_group_IT_number 11
_space_group_name_Hall '-P 2yb'
_cell_length_a 10.1492
_cell_length_b 5.1983
_cell_length_c 11.2759
_cell_angle_alpha 90.00
_cell_angle_beta 99.25
_cell_angle_gamma 90.00
loop_
_atom_site_label
_atom_site_fract_x
_atom_site_fract_y
_atom_site_fract_z
Tb1 0.0510 0.2500 0.4053
Tb2 0.1384 0.7500 0.1866
Tb3 0.2232 0.2500 0.9827
Tb4 0.3163 0.7500 0.7770
Tb5 0.3594 0.2500 0.2801
Tb6 0.4250 0.2500 0.5904
Pm1 0.4535 0.7500 0.0951
In1 0.0420 0.7500 0.8887
In2 0.1366 0.2500 0.6928
In3 0.2577 0.7500 0.4697
# polymorph energy (0 for the lowest one) = 0 meV/atom
# ΔE_f = -0.270 eV/atom

Record 2
# PBE-GGA Ho3Mg2In3, optimized geometry
data_Ho3Mg2In3
_space_group_name_H-M_alt 'P 63/m c m'
_space_group_IT_number 193
_space_group_name_Hall '-P 6c 2'
_cell_length_a 8.9312
_cell_length_b 8.9312
_cell_length_c 5.9865
_cell_angle_alpha 90.00
_cell_angle_beta 90.00
_cell_angle_gamma 120.00
loop_
_atom_site_label
_atom_site_fract_x
_atom_site_fract_y
_atom_site_fract_z
Ho1 0.0000 0.2368 0.2500
Mg1 0.3333 0.6667 0.0000
In1 0.0000 0.4037 0.7500
# ΔE_f = -0.302 eV/atom

Record 3
# PBE-GGA Sr3La2UN6, optimized geometry
data_Sr3La2UN6
_space_group_name_H-M_alt 'C 1 2/m 1'
_space_group_IT_number 12
_space_group_name_Hall '-C 2y'
_cell_length_a 6.4100
_cell_length_b 11.1062
_cell_length_c 6.4051
_cell_angle_alpha 90.00
_cell_angle_beta 109.59
_cell_angle_gamma 90.00
loop_
_atom_site_label
_atom_site_fract_x
_atom_site_fract_y
_atom_site_fract_z
Sr1 0.0000 0.0000 0.0000
Sr2 0.0000 0.3380 0.0000
La1 0.0000 0.1670 0.5000
U1 0.0000 0.5000 0.5000
N1 0.2159 0.3533 0.7084
N2 0.2258 0.5000 0.2946
# formation energy without anion corrections = -1380 kJ/mol of formula units

Record 4
# PBE-GGA Cs2GaHg4Au2, optimized geometry
data_Cs2GaHg4Au2
_space_group_name_H-M_alt 'C 1 2/m 1'
_space_group_IT_number 12
_space_group_name_Hall '-C 2y'
_cell_length_a 11.7864
_cell_length_b 7.2715
_cell_length_c 6.5107
_cell_angle_alpha 90.00
_cell_angle_beta 90.01
_cell_angle_gamma 90.00
loop_
_atom_site_label
_atom_site_fract_x
_atom_site_fract_y
_atom_site_fract_z
Cs1 0.1478 0.0000 0.3547
Ga1 0.0000 0.5000 0.5000
Hg1 0.1130 0.2548 0.8515
Au1 0.1609 0.5000 0.2177
# ΔE_f = -0.161 eV/atom

Record 5
# PBE-GGA MnCuMo3, optimized geometry
data_MnCuMo3
_space_group_name_H-M_alt 'P m -3 m'
_space_group_IT_number 221
_space_group_name_Hall '-P 4 2 3'
_cell_length_a 4.4493
_cell_length_b 4.4493
_cell_length_c 4.4493
_cell_angle_alpha 90.00
_cell_angle_beta 90.00
_cell_angle_gamma 90.00
loop_
_atom_site_label
_atom_site_fract_x
_atom_site_fract_y
_atom_site_fract_z
Mn1 0.0000 0.0000 0.0000
Cu1 0.5000 0.5000 0.5000
Mo1 0.0000 0.5000 0.5000
# polymorph energy (0 for the lowest one) = 729 meV/atom
# ΔE_f = 1.966 eV/atom

Record 6
# PBE-GGA NpMnSnRh, optimized geometry
data_NpMnSnRh
_space_group_name_H-M_alt 'F -4 3 m'
_space_group_IT_number 216
_space_group_name_Hall 'F -4 2 3'
_cell_length_a 6.6489
_cell_length_b 6.6489
_cell_length_c 6.6489
_cell_angle_alpha 90.00
_cell_angle_beta 90.00
_cell_angle_gamma 90.00
loop_
_atom_site_label
_atom_site_fract_x
_atom_site_fract_y
_atom_site_fract_z
Np1 0.0000 0.0000 0.0000
Mn1 0.2500 0.2500 0.2500
Sn1 0.0000 0.0000 0.5000
Rh1 0.2500 0.2500 0.7500
# ΔE_f = -0.168 eV/atom

Record 7
# PBE-GGA Sm2InPb4, optimized geometry
data_Sm2InPb4
_space_group_name_H-M_alt 'I 4 m m'
_space_group_IT_number 107
_space_group_name_Hall 'I 4 -2'
_cell_length_a 7.7457
_cell_length_b 7.7457
_cell_length_c 7.4523
_cell_angle_alpha 90.00
_cell_angle_beta 90.00
_cell_angle_gamma 90.00
loop_
_atom_site_label
_atom_site_fract_x
_atom_site_fract_y
_atom_site_fract_z
Sm1 0.0000 0.5000 0.0000
In1 0.0000 0.0000 0.0005
Pb1 0.2494 0.2494 0.7501
# polymorph energy (0 for the lowest one) = 90 meV/atom
# ΔE_f = -0.249 eV/atom

Record 8
# PBE-GGA Pr6Tl, optimized geometry
data_Pr6Tl
_space_group_name_H-M_alt 'I m -3 m'
_space_group_IT_number 229
_space_group_name_Hall '-I 4 2 3'
_cell_length_a 8.5194
_cell_length_b 8.5194
_cell_length_c 8.5194
_cell_angle_alpha 90.00
_cell_angle_beta 90.00
_cell_angle_gamma 90.00
loop_
_atom_site_label
_atom_site_fract_x
_atom_site_fract_y
_atom_site_fract_z
Pr1 0.0000 0.2500 0.5000
Tl1 0.0000 0.0000 0.0000
# ΔE_f = 1.293 eV/atom

Record 9
# PBE-GGA Tc2Ni, optimized geometry
data_Tc2Ni
_space_group_name_H-M_alt 'P a -3'
_space_group_IT_number 205
_space_group_name_Hall '-P 2ac 2ab 3'
_cell_length_a 5.7157
_cell_length_b 5.7157
_cell_length_c 5.7157
_cell_angle_alpha 90.00
_cell_angle_beta 90.00
_cell_angle_gamma 90.00
loop_
_atom_site_label
_atom_site_fract_x
_atom_site_fract_y
_atom_site_fract_z
Tc1 0.1124 0.1124 0.1124
Ni1 0.0000 0.0000 0.5000
# polymorph energy (0 for the lowest one) = 828 meV/atom
# ΔE_f = 0.756 eV/atom

Record 10
# PBE-GGA Cs8Au3F4, optimized geometry
data_Cs8Au3F4
_space_group_name_H-M_alt 'C 1 2/m 1'
_space_group_IT_number 12
_space_group_name_Hall '-C 2y'
_cell_length_a 13.4864
_cell_length_b 13.4918
_cell_length_c 9.4189
_cell_angle_alpha 90.00
_cell_angle_beta 133.33
_cell_angle_gamma 90.00
loop_
_atom_site_label
_atom_site_fract_x
_atom_site_fract_y
_atom_site_fract_z
Cs1 0.0000 0.2355 0.0000
Cs2 0.0000 0.2366 0.5000
Cs3 0.1950 0.0000 0.4371
Cs4 0.2319 0.0000 0.9776
Au1 0.0000 0.5000 0.5000
Au2 0.2500 0.2500 0.5000
F1 0.0000 0.0000 0.0000
F2 0.0000 0.0000 0.5000
F3 0.2500 0.2500 0.0000
# formation energy without anion corrections = -2091 kJ/mol of formula units

Record 11
# PBE-GGA Hg2MoPt, optimized geometry
data_Hg2MoPt
_space_group_name_H-M_alt 'R -3 m'
_space_group_IT_number 166
_space_group_name_Hall '-R 3 2"'
_cell_length_a 2.9994
_cell_length_b 2.9994
_cell_length_c 28.1863
_cell_angle_alpha 90.00
_cell_angle_beta 90.00
_cell_angle_gamma 120.00
loop_
_atom_site_label
_atom_site_fract_x
_atom_site_fract_y
_atom_site_fract_z
Hg1 0.0000 0.0000 0.2494
Mo1 0.0000 0.0000 0.0000
Pt1 0.0000 0.0000 0.5000
# polymorph energy (0 for the lowest one) = 286 meV/atom
# ΔE_f = 0.415 eV/atom

Record 12
# PBE-GGA LaCdPd2, optimized geometry
data_LaCdPd2
_space_group_name_H-M_alt 'I -4 2 d'
_space_group_IT_number 122
_space_group_name_Hall 'I -4 2bw'
_cell_length_a 4.5912
_cell_length_b 4.5912
_cell_length_c 18.3346
_cell_angle_alpha 90.00
_cell_angle_beta 90.00
_cell_angle_gamma 90.00
loop_
_atom_site_label
_atom_site_fract_x
_atom_site_fract_y
_atom_site_fract_z
La1 0.0000 0.0000 0.0000
Cd1 0.0000 0.0000 0.5000
Pd1 0.1929 0.2500 0.6250
# ΔE_f = -0.269 eV/atom

Record 13
# PBE-GGA ZnTc2Br, optimized geometry
data_ZnTc2Br
_space_group_name_H-M_alt 'P 4 m m'
_space_group_IT_number 99
_space_group_name_Hall 'P 4 -2'
_cell_length_a 3.0130
_cell_length_b 3.0130
_cell_length_c 8.0599
_cell_angle_alpha 90.00
_cell_angle_beta 90.00
_cell_angle_gamma 90.00
loop_
_atom_site_label
_atom_site_fract_x
_atom_site_fract_y
_atom_site_fract_z
Zn1 0.0000 0.0000 0.0000
Tc1 0.0000 0.0000 0.6116
Tc2 0.5000 0.5000 0.7948
Br1 0.5000 0.5000 0.3708
# polymorph energy (0 for the lowest one) = 67 meV/atom
# formation energy without anion corrections = 84 kJ/mol of formula units

Record 14
# PBE-GGA BeGeBr3, optimized geometry
data_BeGeBr3
_space_group_name_H-M_alt 'P m -3 m'
_space_group_IT_number 221
_space_group_name_Hall '-P 4 2 3'
_cell_length_a 5.3805
_cell_length_b 5.3805
_cell_length_c 5.3805
_cell_angle_alpha 90.00
_cell_angle_beta 90.00
_cell_angle_gamma 90.00
loop_
_atom_site_label
_atom_site_fract_x
_atom_site_fract_y
_atom_site_fract_z
Be1 0.0000 0.0000 0.0000
Ge1 0.5000 0.5000 0.5000
Br1 0.0000 0.5000 0.5000
# polymorph energy (0 for the lowest one) = 364 meV/atom
# formation energy without anion corrections = 143 kJ/mol of formula units

Record 15
# PBE-GGA LaDy3Pd12, optimized geometry
data_LaDy3Pd12
_space_group_name_H-M_alt 'P 4/m m m'
_space_group_IT_number 123
_space_group_name_Hall '-P 4 2'
_cell_length_a 4.1475
_cell_length_b 4.1475
_cell_length_c 16.6220
_cell_angle_alpha 90.00
_cell_angle_beta 90.00
_cell_angle_gamma 90.00
loop_
_atom_site_label
_atom_site_fract_x
_atom_site_fract_y
_atom_site_fract_z
La1 0.0000 0.0000 0.0000
Dy1 0.0000 0.0000 0.2543
Dy2 0.0000 0.0000 0.5000
Pd1 0.0000 0.5000 0.1301
Pd2 0.0000 0.5000 0.3765
Pd3 0.5000 0.5000 0.0000
Pd4 0.5000 0.5000 0.2526
Pd5 0.5000 0.5000 0.5000
# ΔE_f = -0.857 eV/atom

Record 16
## AlV2CrH (PBE-GGA)

Data for a relaxed AlV2CrH crystal.

CIF file:
```
data_AlV2CrH
_space_group_name_H-M_alt 'P 4/m m m'
_space_group_IT_number 123
_space_group_name_Hall '-P 4 2'
_cell_length_a 3.8864
_cell_length_b 3.8864
_cell_length_c 3.6754
_cell_angle_alpha 90.00
_cell_angle_beta 90.00
_cell_angle_gamma 90.00
loop_
_atom_site_label
_atom_site_fract_x
_atom_site_fract_y
_atom_site_fract_z
Al1 0.0000 0.0000 0.0000
V1 0.0000 0.5000 0.5000
Cr1 0.5000 0.5000 0.0000
H1 0.5000 0.5000 0.5000
```

Record 17
# PBE-GGA TcHg2Pt, optimized geometry
data_TcHg2Pt
_space_group_name_H-M_alt 'P m m m'
_space_group_IT_number 47
_space_group_name_Hall '-P 2 2'
_cell_length_a 2.8995
_cell_length_b 4.9437
_cell_length_c 5.1207
_cell_angle_alpha 90.00
_cell_angle_beta 90.00
_cell_angle_gamma 90.00
loop_
_atom_site_label
_atom_site_fract_x
_atom_site_fract_y
_atom_site_fract_z
Tc1 0.0000 0.0000 0.0000
Hg1 0.0000 0.5000 0.5000
Hg2 0.5000 0.5000 0.0000
Pt1 0.5000 0.0000 0.5000
# polymorph energy (0 for the lowest one) = 271 meV/atom
# ΔE_f = 0.474 eV/atom

Record 18
# PBE-GGA K4HoSb3O12, optimized geometry
data_K4HoSb3O12
_space_group_name_H-M_alt 'I m -3 m'
_space_group_IT_number 229
_space_group_name_Hall '-I 4 2 3'
_cell_length_a 8.2753
_cell_length_b 8.2753
_cell_length_c 8.2753
_cell_angle_alpha 90.00
_cell_angle_beta 90.00
_cell_angle_gamma 90.00
loop_
_atom_site_label
_atom_site_fract_x
_atom_site_fract_y
_atom_site_fract_z
K1 0.2500 0.2500 0.2500
Ho1 0.0000 0.0000 0.0000
Sb1 0.0000 0.0000 0.5000
O1 0.0000 0.0000 0.2669
O2 0.0000 0.2500 0.5000
# formation energy without anion corrections = -3247 kJ/mol of formula units

Record 19
# PBE-GGA ScFePS2, optimized geometry
data_ScFePS2
_space_group_name_H-M_alt 'P 4/m m m'
_space_group_IT_number 123
_space_group_name_Hall '-P 4 2'
_cell_length_a 4.6403
_cell_length_b 4.6403
_cell_length_c 4.0886
_cell_angle_alpha 90.00
_cell_angle_beta 90.00
_cell_angle_gamma 90.00
loop_
_atom_site_label
_atom_site_fract_x
_atom_site_fract_y
_atom_site_fract_z
Sc1 0.0000 0.0000 0.0000
Fe1 0.5000 0.5000 0.5000
P1 0.5000 0.5000 0.0000
S1 0.0000 0.5000 0.5000
# polymorph energy (0 for the lowest one) = 0 meV/atom
# formation energy without anion corrections = -104 kJ/mol of formula units

Record 20
# PBE-GGA Se2Br, optimized geometry
data_Se2Br
_space_group_name_H-M_alt 'P 4/m m m'
_space_group_IT_number 123
_space_group_name_Hall '-P 4 2'
_cell_length_a 5.1568
_cell_length_b 5.1568
_cell_length_c 3.0172
_cell_angle_alpha 90.00
_cell_angle_beta 90.00
_cell_angle_gamma 90.00
loop_
_atom_site_label
_atom_site_fract_x
_atom_site_fract_y
_atom_site_fract_z
Se1 0.0000 0.5000 0.0000
Br1 0.0000 0.0000 0.5000
# polymorph energy (0 for the lowest one) = 912 meV/atom
# formation energy without anion corrections = 251 kJ/mol of formula units

Record 21
# PBE-GGA KSi3Tc, optimized geometry
data_KSi3Tc
_space_group_name_H-M_alt 'P m -3 m'
_space_group_IT_number 221
_space_group_name_Hall '-P 4 2 3'
_cell_length_a 5.0755
_cell_length_b 5.0755
_cell_length_c 5.0755
_cell_angle_alpha 90.00
_cell_angle_beta 90.00
_cell_angle_gamma 90.00
loop_
_atom_site_label
_atom_site_fract_x
_atom_site_fract_y
_atom_site_fract_z
K1 0.0000 0.0000 0.0000
Si1 0.0000 0.0000 0.5000
Tc1 0.5000 0.5000 0.5000
# polymorph energy (0 for the lowest one) = 2381 meV/atom
# formation energy without anion corrections = 1267 kJ/mol of formula units

Record 22
# PBE-GGA Ga2CoNiSe, optimized geometry
data_Ga2CoNiSe
_space_group_name_H-M_alt 'P 4/m m m'
_space_group_IT_number 123
_space_group_name_Hall '-P 4 2'
_cell_length_a 5.0215
_cell_length_b 5.0215
_cell_length_c 4.2491
_cell_angle_alpha 90.00
_cell_angle_beta 90.00
_cell_angle_gamma 90.00
loop_
_atom_site_label
_atom_site_fract_x
_atom_site_fract_y
_atom_site_fract_z
Ga1 0.0000 0.5000 0.0000
Co1 0.0000 0.0000 0.5000
Ni1 0.5000 0.5000 0.5000
Se1 0.0000 0.0000 0.0000
# formation energy without anion corrections = 457 kJ/mol of formula units

Record 23
# PBE-GGA MnTeWI2, optimized geometry
data_MnTeWI2
_space_group_name_H-M_alt 'P 4/m m m'
_space_group_IT_number 123
_space_group_name_Hall '-P 4 2'
_cell_length_a 5.6730
_cell_length_b 5.6730
_cell_length_c 5.2576
_cell_angle_alpha 90.00
_cell_angle_beta 90.00
_cell_angle_gamma 90.00
loop_
_atom_site_label
_atom_site_fract_x
_atom_site_fract_y
_atom_site_fract_z
Mn1 0.0000 0.0000 0.0000
Te1 0.5000 0.5000 0.0000
W1 0.5000 0.5000 0.5000
I1 0.0000 0.5000 0.5000
# polymorph energy (0 for the lowest one) = 0 meV/atom
# formation energy without anion corrections = 442 kJ/mol of formula units

What did we get for total DFT energy (no corrections)? Answer: -4.344 -3.444 -7.537 -1.549 -7.186 -8.534 -4.107 -3.142 -8.081 -3.055 -3.954 -4.326 -5.702 -2.377 -5.923 -7.107 -3.778 -5.724 -5.908 -2.015 -2.921 -3.537 -4.756 eV/atom, in the order shown.